{
  "formula": "SmCoTe",
  "functional": "PBE-GGA",
  "state": "optimized geometry",
  "e_form_raw_mev_per_atom": -155.8,
  "dft_energy_ev_per_atom": -5.145,
  "lattice_angstrom": [[11.531, 0.000, 0.000], [0.000, 1.874, 3.248], [0.000, -1.874, 3.248]],
  "species": ["Sm", "Sm", "Co", "Co", "Te", "Te"],
  "frac_coords": [[0.154, 0.000, 0.000], [0.846, 0.000, 0.000], [0.000, 0.667, 0.667], [0.500, 0.999, 0.999], [0.367, 0.666, 0.666], [0.633, 0.666, 0.666]]
}